A geometry-optimized AlTlSb2 structure. Source: Alexandria via LeMat-Bulk, functional PBE.

Calculated volume (Å³ per cell): 109
Symmetry: No. 12
E (eV for the cell shown): -14.25
Polymorph energy (0 for the lowest one) (meV per atom): 36
N(E_F) (states/eV/cell): 1.6
ΔE_f (raw) (eV per atom): 0.027

Structure (POSCAR):
```
AlTlSb2
1.0
-3.6838 -2.0972 -0.4785
-2.5592 -2.1726 2.6321
-4.9908 6.4821 1.9618
Sb Tl Al
2 1 1
Direct
0.9921 0.9921 0.0453 Sb
0.5079 0.5079 0.4547 Sb
0.7500 0.7500 0.7500 Tl
0.2500 0.2500 0.2500 Al
```

---

A geometry-optimized AlTlSb2 structure. Source: Alexandria via LeMat-Bulk, functional PBE.

Calculated volume (Å³ per cell): 106
Symmetry: No. 216
E (eV for the cell shown): -13.37
Polymorph energy (0 for the lowest one) (meV per atom): 256
N(E_F) (states/eV/cell): 2.1
ΔE_f (raw) (eV per atom): 0.247

Structure (POSCAR):
```
AlTlSb2
1.0
5.3154 0.0000 0.0000
2.6577 4.6032 0.0000
2.6577 1.5344 4.3400
Sb Tl Al
2 1 1
Direct
0.0000 0.0000 0.0000 Sb
0.7500 0.7500 0.7500 Sb
0.2500 0.2500 0.2500 Tl
0.5000 0.5000 0.5000 Al
```

---

A geometry-optimized AlTlSb2 structure. Source: Alexandria via LeMat-Bulk, functional PBE.

Calculated volume (Å³ per cell): 105
Symmetry: No. 160
E (eV for the cell shown): -13.31
Polymorph energy (0 for the lowest one) (meV per atom): 269
N(E_F) (states/eV/cell): 2.5
ΔE_f (raw) (eV per atom): 0.260

Structure (POSCAR):
```
AlTlSb2
1.0
-0.4905 -2.8823 -10.4603
0.1857 -5.8908 -9.1230
-2.9879 -4.7948 -9.2762
Sb Tl Al
2 1 1
Direct
0.0068 0.0068 0.0068 Sb
0.2518 0.2518 0.2518 Sb
0.4949 0.4949 0.4949 Tl
0.7464 0.7464 0.7464 Al
```

---

A geometry-optimized AlTlSb2 structure. Source: Alexandria via LeMat-Bulk, functional PBE.

Calculated volume (Å³ per cell): 107
Symmetry: No. 44
E (eV for the cell shown): -13.44
Polymorph energy (0 for the lowest one) (meV per atom): 238
N(E_F) (states/eV/cell): 2.5
ΔE_f (raw) (eV per atom): 0.229

Structure (POSCAR):
```
AlTlSb2
1.0
-4.8091 -1.4144 3.5383
1.2709 -0.6523 5.9672
0.2820 3.9732 -4.6672
Sb Tl Al
2 1 1
Direct
0.0010 0.0010 0.0000 Sb
0.7742 0.2742 0.5000 Sb
0.4943 0.4943 0.0000 Tl
0.2305 0.7305 0.5000 Al
```